No. 1
Entry from Alexandria via LeMat-Bulk: SrTh2Zr after structural relaxation (PBE-GGA).

Calculated values
Formation enthalpy at 0 K ... 0.369 eV/atom

abc: 3.4857 3.4857 37.9211
angles: 90.00 90.00 120.00
Closest atoms and distances in Å follow each position.
Space group R-3m (No. 166, hexagonal axes)
Unique sites:
Sr 0.0000 0.0000 0.0000 [3 per cell]  6 Sr 3.49, 2 Th 3.59
Th 0.0000 0.0000 0.0947 [6 per cell]  3 Zr 3.39, 6 Th 3.49, 1 Sr 3.59
Zr 0.0000 0.0000 0.5000 [3 per cell]  6 Th 3.39, 6 Zr 3.49

No. 2
Entry from Alexandria via LeMat-Bulk: Zr2VH after structural relaxation (PBE-GGA).

Calculated values
Energy ... -6.797 eV per atom

abc: 6.3713 6.3713 6.3713
angles: 90.00 90.00 90.00
Closest atoms and distances in Å follow each position.
Space group Fm-3m (No. 225)
Unique sites:
Zr 0.2500 0.2500 0.2500 [8 per cell]  4 H 2.76, 4 V 2.76
V 0.0000 0.0000 0.0000 [4 per cell]  8 Zr 2.76
H 0.0000 0.0000 0.5000 [4 per cell]  8 Zr 2.76

Number 1: total magnetization 0.000 μB/atom. Number 2: total magnetization 0.025 μB/atom.